Entry 1:
This record from Alexandria via LeMat-Bulk describes crystalline Mn3Sb at its relaxed geometry. The functional is PBE.

abc: 4.1840 4.1840 3.1124
angles: 90.00 90.00 90.00
Fractional coordinates of all 4 atoms:
1 Mn 0.0000 0.0000 0.0000
2 Mn 0.0000 0.5000 0.5000
3 Mn 0.5000 0.0000 0.5000
4 Sb 0.5000 0.5000 0.0000

Entry 2:
This record from Alexandria via LeMat-Bulk describes crystalline MnSb2 at its relaxed geometry. The functional is PBE.

abc: 6.5976 6.5976 6.5976
angles: 90.00 90.00 90.00
Fractional coordinates of all 12 atoms:
1 Mn 0.0000 0.0000 0.0000
2 Mn 0.0000 0.5000 0.5000
3 Mn 0.5000 0.0000 0.5000
4 Mn 0.5000 0.5000 0.0000
5 Sb 0.1266 0.6266 0.8734
6 Sb 0.1266 0.8734 0.3734
7 Sb 0.3734 0.1266 0.8734
8 Sb 0.3734 0.3734 0.3734
9 Sb 0.6266 0.6266 0.6266
10 Sb 0.6266 0.8734 0.1266
11 Sb 0.8734 0.1266 0.6266
12 Sb 0.8734 0.3734 0.1266

Entry 3:
This record from Alexandria via LeMat-Bulk describes crystalline MnSb2 at its relaxed geometry. The functional is PBE.

abc: 5.0387 5.0387 6.2722
angles: 90.00 90.00 120.00
Fractional coordinates of all 6 atoms:
1 Mn 0.3333 0.6667 0.2500
2 Mn 0.6667 0.3333 0.7500
3 Sb 0.0000 0.0000 0.0000
4 Sb 0.0000 0.0000 0.5000
5 Sb 0.3333 0.6667 0.7500
6 Sb 0.6667 0.3333 0.2500

Entry 4:
This record from Alexandria via LeMat-Bulk describes crystalline ScMnSb2 at its relaxed geometry. The functional is PBE.

abc: 3.4947 3.4947 7.4335
angles: 90.00 90.00 104.84
Fractional coordinates of all 4 atoms:
1 Sc 0.0000 0.0000 0.0000
2 Mn 0.0000 0.0000 0.5000
3 Sb 0.5000 0.5000 0.2660
4 Sb 0.5000 0.5000 0.7340

Entry 5:
This record from Alexandria via LeMat-Bulk describes crystalline ScMn2Sb at its relaxed geometry. The functional is PBE.

abc: 4.6266 4.6266 4.6266
angles: 60.00 60.00 60.00
Fractional coordinates of all 4 atoms:
1 Sc 0.0000 0.0000 0.0000
2 Mn 0.2500 0.2500 0.2500
3 Mn 0.5000 0.5000 0.5000
4 Sb 0.7500 0.7500 0.7500

Entry 6:
This record from Alexandria via LeMat-Bulk describes crystalline ScMnSb2 at its relaxed geometry. The functional is PBE.

abc: 6.8706 6.8706 6.8706
angles: 34.73 34.73 34.73
Fractional coordinates of all 4 atoms:
1 Sc 0.0000 0.0000 0.0000
2 Mn 0.5000 0.5000 0.5000
3 Sb 0.2427 0.2427 0.2427
4 Sb 0.7573 0.7573 0.7573

Entry 7:
This record from Alexandria via LeMat-Bulk describes crystalline ScMn2Sb at its relaxed geometry. The functional is PBE.

abc: 5.4263 5.4263 5.4263
angles: 44.56 44.56 44.56
Fractional coordinates of all 4 atoms:
1 Sc 0.0000 0.0000 0.0000
2 Mn 0.2052 0.2052 0.2052
3 Mn 0.5597 0.5597 0.5597
4 Sb 0.7915 0.7915 0.7915

Entry 8:
This record from Alexandria via LeMat-Bulk describes crystalline ScMn2Sb at its relaxed geometry. The functional is PBE.

abc: 5.1362 5.1362 5.1362
angles: 133.69 133.69 67.57
Fractional coordinates of all 4 atoms:
1 Sc 0.0000 0.0000 0.0000
2 Mn 0.5000 0.5000 0.0000
3 Mn 0.7500 0.2500 0.5000
4 Sb 0.2500 0.7500 0.5000

Entry 9:
This record from Alexandria via LeMat-Bulk describes crystalline Sc2MnSb at its relaxed geometry. The functional is PBE.

abc: 5.5471 5.5471 5.5471
angles: 136.11 136.11 63.82
Fractional coordinates of all 4 atoms:
1 Sc 0.0000 0.0000 0.0000
2 Sc 0.7500 0.2500 0.5000
3 Mn 0.2500 0.7500 0.5000
4 Sb 0.5000 0.5000 0.0000

Entry 10:
This record from Alexandria via LeMat-Bulk describes crystalline ScMnSb4 at its relaxed geometry. The functional is PBE.

abc: 6.1441 6.1441 6.1441
angles: 60.00 60.00 60.00
Fractional coordinates of all 6 atoms:
1 Sc 0.0000 0.0000 0.0000
2 Mn 0.7500 0.7500 0.7500
3 Sb 0.3752 0.3752 0.3752
4 Sb 0.3752 0.3752 0.8743
5 Sb 0.3752 0.8743 0.3752
6 Sb 0.8743 0.3752 0.3752

Entry 11:
This record from Alexandria via LeMat-Bulk describes crystalline Sc2MnSb at its relaxed geometry. The functional is PBE.

abc: 3.2398 3.2398 7.5816
angles: 90.00 90.00 90.00
Fractional coordinates of all 4 atoms:
1 Sc 0.0000 0.0000 0.0000
2 Sc 0.5000 0.5000 0.3354
3 Mn 0.0000 0.0000 0.5507
4 Sb 0.5000 0.5000 0.7257

Entry 12:
This record from Alexandria via LeMat-Bulk describes crystalline ScMn2Sb at its relaxed geometry. The functional is PBE.

abc: 3.1982 4.4393 5.5186
angles: 90.00 106.63 90.00
Fractional coordinates of all 4 atoms:
1 Sc 0.0000 0.0000 0.0000
2 Mn 0.2544 0.0000 0.5007
3 Mn 0.6691 0.5000 0.3313
4 Sb 0.3938 0.5000 0.7857

Entry 13:
This record from Alexandria via LeMat-Bulk describes crystalline ScMn2Sb at its relaxed geometry. The functional is PBE.

abc: 4.9256 4.9256 4.9534
angles: 102.28 102.28 37.93
Fractional coordinates of all 4 atoms:
1 Sc 0.0000 0.0000 0.0000
2 Mn 0.2453 0.2453 0.7427
3 Mn 0.7547 0.7547 0.2573
4 Sb 0.5000 0.5000 0.5000

Entry 14:
This record from Alexandria via LeMat-Bulk describes crystalline ScMnSb2 at its relaxed geometry. The functional is PBE.

abc: 4.6721 4.6721 3.9112
angles: 90.00 90.00 90.00
Fractional coordinates of all 4 atoms:
1 Sc 0.0000 0.0000 0.0000
2 Mn 0.5000 0.5000 0.0000
3 Sb 0.0000 0.5000 0.5000
4 Sb 0.5000 0.0000 0.5000

Entry 15:
This record from Alexandria via LeMat-Bulk describes crystalline ScMnSb2 at its relaxed geometry. The functional is PBE.

abc: 3.2905 3.9704 6.9177
angles: 90.00 101.84 90.00
Fractional coordinates of all 4 atoms:
1 Sc 0.0000 0.0000 0.0000
2 Mn 0.5000 0.0000 0.5000
3 Sb 0.3176 0.5000 0.7437
4 Sb 0.6824 0.5000 0.2563

Entry 16:
This record from Alexandria via LeMat-Bulk describes crystalline ScMnSb2 at its relaxed geometry. The functional is PBE.

abc: 4.8419 4.8419 3.7788
angles: 93.99 93.99 97.48
Fractional coordinates of all 4 atoms:
1 Sc 0.0000 0.0000 0.0000
2 Mn 0.5000 0.5000 0.0000
3 Sb 0.0000 0.5000 0.5000
4 Sb 0.5000 0.0000 0.5000

Entry 17:
This record from Alexandria via LeMat-Bulk describes crystalline ScMnSb2 at its relaxed geometry. The functional is PBE.

abc: 4.7944 4.7944 4.7944
angles: 60.00 60.00 60.00
Fractional coordinates of all 4 atoms:
1 Sc 0.0000 0.0000 0.0000
2 Mn 0.5000 0.5000 0.5000
3 Sb 0.2500 0.2500 0.2500
4 Sb 0.7500 0.7500 0.7500

Entry 18:
This record from Alexandria via LeMat-Bulk describes crystalline ScMnSb2 at its relaxed geometry. The functional is PBE.

abc: 8.5079 8.5079 8.5079
angles: 140.26 140.26 57.45
Fractional coordinates of all 8 atoms:
1 Sc 0.0000 0.0000 0.0000
2 Sc 0.7500 0.2500 0.5000
3 Mn 0.2500 0.7500 0.5000
4 Mn 0.5000 0.5000 0.0000
5 Sb 0.1591 0.6250 0.0341
6 Sb 0.3750 0.4091 0.5341
7 Sb 0.5909 0.1250 0.9659
8 Sb 0.8750 0.8409 0.4659

Entry 19:
This record from Alexandria via LeMat-Bulk describes crystalline Sc2MnSb at its relaxed geometry. The functional is PBE.

abc: 9.2421 9.2421 9.2421
angles: 20.53 20.53 20.53
Fractional coordinates of all 4 atoms:
1 Sc 0.2436 0.2436 0.2436
2 Sc 0.7564 0.7564 0.7564
3 Mn 0.5000 0.5000 0.5000
4 Sb 0.0000 0.0000 0.0000

Entry 20:
This record from Alexandria via LeMat-Bulk describes crystalline ScMnSb at its relaxed geometry. The functional is PBE.

abc: 5.4013 5.4013 5.4013
angles: 141.90 141.90 54.97
Fractional coordinates of all 3 atoms:
1 Sc 0.0000 0.0000 0.0000
2 Mn 0.6690 0.6690 0.0000
3 Sb 0.3134 0.3134 0.0000

| no. | density of states at the Fermi level (states/eV per atom) | magnetic moment (μB per cell) | E_form (uncorrected) (kJ/mol of formula units) |
| --- | --- | --- | --- |
| 1 | 0.84 | 1.99 | 81 |
| 2 | 0.17 | 12.45 | 18 |
| 3 | 0.83 | 7.41 | 107 |
| 4 | 0.62 | 3.42 | -73 |
| 5 | 1.18 | 6.19 | 12 |
| 6 | 0.62 | 3.71 | -115 |
| 7 | 0.78 | 1.82 | -54 |
| 8 | 0.86 | 5.63 | -36 |
| 9 | 0.86 | 2.40 | -128 |
| 10 | 1.10 | 3.56 | 253 |
| 11 | 1.19 | 0.32 | -26 |
| 12 | 0.83 | 6.77 | 7 |
| 13 | 0.81 | 6.03 | 14 |
| 14 | 0.82 | 3.51 | -82 |
| 15 | 0.76 | 3.71 | -73 |
| 16 | 0.60 | 3.71 | -84 |
| 17 | 1.07 | 0.00 | 9 |
| 18 | 0.45 | 8.00 | 19 |
| 19 | 1.16 | 2.13 | -27 |
| 20 | 0.54 | 2.86 | -58 |